Crystalline Sr3Np2O8 at its relaxed geometry, computed with PBE.

Formation energy without anion corrections   -2660 meV per atom
DOS(E_F)   1.0928 states/eV/atom
Total moment   4.000 μB/cell

Lattice parameters (Å, degrees): 6.555 6.555 7.472 63.98 63.98 60.00
Last column: magnetic moment on the atom in μB.
Atoms (fractional coordinates):
O  0.215  0.745  0.296  -0.07
O  0.255  0.255  0.704  -0.07
O  0.785  0.255  0.704  -0.07
O  0.745  0.745  0.296  -0.07
O  0.311  0.311  0.066  -0.08
O  0.255  0.785  0.704  -0.07
O  0.689  0.689  0.934  -0.08
O  0.745  0.215  0.296  -0.07
Sr  0.000  0.000  0.000  0.00
Sr  0.188  0.188  0.437  0.00
Sr  0.812  0.812  0.563  0.00
Np  0.588  0.588  0.237  2.15
Np  0.412  0.412  0.763  2.15